First-principles (GGA-PBE) data for a geometry-optimized CeZrH2 structure, as listed in the Alexandria database.

Cell: 3.197 3.197 6.342 Å, 75.40 75.40 60.00°
Fractional positions:
H 0.732 0.732 0.805
H 0.268 0.268 0.195
Zr 0.000 0.000 0.000
Ce 0.500 0.500 0.500

Output
The space group is No. 166. For the final energy, the calculation gives -5.6236 eV/atom. The spin magnetization comes out at 0.000 μB per atom.